Compound: TbNd10Dy6
Source: the Alexandria database
Functional: PBE
Structure: relaxed Values from VASP.

Cell and atoms, written as Quantum ESPRESSO input:
```
&SYSTEM
  ibrav = 0, nat = 17, ntyp = 3
/
ATOMIC_SPECIES
Nd 144.24 Nd.upf
Dy 162.50 Dy.upf
Tb 158.93 Tb.upf
CELL_PARAMETERS angstrom
6.928 0.000 0.000
0.000 8.535 -4.928
0.000 0.000 9.855
ATOMIC_POSITIONS angstrom
Nd 3.464 2.845 4.928
Nd 5.652 0.000 2.706
Nd 1.276 0.000 7.150
Dy 2.135 5.369 3.100
Nd 0.000 2.845 4.928
Nd 5.652 2.343 -1.353
Nd 0.000 5.690 0.000
Dy 2.135 3.166 -1.828
Dy 4.793 3.166 1.828
Tb 3.464 0.000 0.000
Nd 1.276 6.192 -3.575
Nd 3.464 5.690 0.000
Nd 1.276 2.343 1.353
Dy 4.793 5.369 -3.100
Dy 2.135 0.000 3.656
Nd 5.652 6.192 3.575
Dy 4.793 0.000 6.200
```

- Raw total energy: -0.1681 hartree per atom
- Magnetic moment: 0.00 μB/cell
- SG: P-31m (162)
- ΔH_f (0 K): 126.5 meV/atom



Compound: TiBeNbF2
Source: the Alexandria database
Functional: PBE
Structure: relaxed Values from VASP.

Cell and atoms, written as Quantum ESPRESSO input:
```
&SYSTEM
  ibrav = 0, nat = 5, ntyp = 4
/
ATOMIC_SPECIES
Nb 92.91 Nb.upf
F 19.00 F.upf
Be 9.01 Be.upf
Ti 47.87 Ti.upf
CELL_PARAMETERS angstrom
4.004 0.000 0.000
0.000 5.083 0.000
0.000 0.000 4.004
ATOMIC_POSITIONS angstrom
Nb 0.000 0.000 0.000
F 0.000 0.000 2.002
F 2.002 0.000 0.000
Be 0.000 2.542 0.000
Ti 2.002 2.542 2.002
```

- Raw total energy: -0.2058 hartree per atom
- Magnetic moment: 0.00 μB/cell
- Formation energy from raw total energies: -513 meV/atom
- SG: P4/mmm (123)



Compound: Cs2ZnHgI6
Source: the Alexandria database
Functional: PBE
Structure: relaxed Values from VASP.

Cell and atoms, written as Quantum ESPRESSO input:
```
&SYSTEM
  ibrav = 0, nat = 10, ntyp = 4
/
ATOMIC_SPECIES
Cs 132.91 Cs.upf
I 126.90 I.upf
Hg 200.59 Hg.upf
Zn 65.41 Zn.upf
CELL_PARAMETERS angstrom
-3.172 -7.700 -2.310
7.236 -3.817 2.785
-0.405 -6.393 5.700
ATOMIC_POSITIONS angstrom
Cs -0.772 -9.926 1.813
I 0.995 -6.028 2.562
I -0.673 -6.767 -1.087
I 0.976 -2.765 0.114
I 3.088 -8.751 0.360
Hg 0.000 0.000 0.000
Zn 2.032 -5.758 0.237
I 4.737 -4.749 1.561
I 2.664 -11.881 3.613
Cs 4.432 -7.984 4.361
```

- Raw total energy: -0.0761 hartree per atom
- Magnetic moment: 0.00 μB/cell
- Formation energy from raw total energies: -813 meV/atom
- SG: I4/mmm (139)



Compound: TlV4Te8
Source: the Alexandria database
Functional: PBE
Structure: relaxed Values from VASP.

Cell and atoms, written as Quantum ESPRESSO input:
```
&SYSTEM
  ibrav = 0, nat = 13, ntyp = 3
/
ATOMIC_SPECIES
Te 127.60 Te.upf
V 50.94 V.upf
Tl 204.38 Tl.upf
CELL_PARAMETERS angstrom
7.095 0.000 2.388
3.146 6.360 2.388
0.693 0.431 9.675
ATOMIC_POSITIONS angstrom
Te 6.475 1.811 10.115
Te 2.917 1.811 8.917
Te 8.017 4.979 5.533
Te 6.440 1.789 4.336
Te 4.459 4.979 4.336
Te 4.495 5.001 10.115
Te 2.889 1.794 3.151
V 1.573 3.180 1.194
Te 8.045 4.996 11.300
V 5.120 3.180 2.388
V 0.000 0.000 0.000
V 3.548 0.000 1.194
Tl 5.467 3.395 7.225
```

- Raw total energy: -0.1918 hartree per atom
- Magnetic moment: 5.65 μB/cell
- Formation energy from raw total energies: -298 meV/atom
- SG: R-3m (166)



Compound: Tl2CdPOs
Source: the Alexandria database
Functional: PBE
Structure: relaxed Values from VASP.

Cell and atoms, written as Quantum ESPRESSO input:
```
&SYSTEM
  ibrav = 0, nat = 5, ntyp = 4
/
ATOMIC_SPECIES
Tl 204.38 Tl.upf
Os 190.23 Os.upf
P 30.97 P.upf
Cd 112.41 Cd.upf
CELL_PARAMETERS angstrom
5.563 0.000 0.000
0.000 4.380 0.000
0.000 0.000 5.563
ATOMIC_POSITIONS angstrom
Tl 0.000 0.000 2.782
Tl 2.782 0.000 0.000
Os 0.000 2.190 0.000
P 0.000 0.000 0.000
Cd 2.782 2.190 2.782
```

- Raw total energy: -0.1377 hartree per atom
- Magnetic moment: 0.00 μB/cell
- SG: P4/mmm (123)
- ΔH_f (0 K): 710.9 meV/atom



Compound: HoErRh2
Source: the Alexandria database
Functional: PBE
Structure: relaxed Values from VASP.

Cell and atoms, written as Quantum ESPRESSO input:
```
&SYSTEM
  ibrav = 0, nat = 4, ntyp = 3
/
ATOMIC_SPECIES
Er 167.26 Er.upf
Rh 102.91 Rh.upf
Ho 164.93 Ho.upf
CELL_PARAMETERS angstrom
3.490 0.000 0.000
0.000 4.749 0.000
0.000 0.000 4.749
ATOMIC_POSITIONS angstrom
Er 1.745 0.000 0.000
Rh 0.000 0.000 2.375
Rh 0.000 2.375 0.000
Ho 1.745 2.375 2.375
```

- Raw total energy: -0.2529 hartree per atom
- Magnetic moment: 0.00 μB/cell
- SG: P4/mmm (123)
- ΔH_f (0 K): -920.9 meV/atom
- Distance to the lowest polymorph of the same formula: 1 meV/atom



Compound: Si2RuAu
Source: the Alexandria database
Functional: PBE
Structure: relaxed Values from VASP.

Cell and atoms, written as Quantum ESPRESSO input:
```
&SYSTEM
  ibrav = 0, nat = 4, ntyp = 3
/
ATOMIC_SPECIES
Au 196.97 Au.upf
Si 28.09 Si.upf
Ru 101.07 Ru.upf
CELL_PARAMETERS angstrom
-0.970 0.774 -2.510
0.866 -2.619 -1.142
-6.592 -2.901 1.654
ATOMIC_POSITIONS angstrom
Au -1.917 -0.993 -1.127
Si -6.060 -3.417 1.289
Si -3.396 -2.245 0.620
Ru -4.780 -3.753 -0.871
```

- Raw total energy: -0.2224 hartree per atom
- Magnetic moment: 0.00 μB/cell
- Formation energy from raw total energies: -202 meV/atom
- SG: Pmmm (47)
- Distance to the lowest polymorph of the same formula: 0 meV/atom



Compound: PmDyErN3
Source: the Alexandria database
Functional: PBE
Structure: relaxed Values from VASP.

Cell and atoms, written as Quantum ESPRESSO input:
```
&SYSTEM
  ibrav = 0, nat = 12, ntyp = 4
/
ATOMIC_SPECIES
Er 167.26 Er.upf
N 14.01 N.upf
Pm 145.00 Pm.upf
Dy 162.50 Dy.upf
CELL_PARAMETERS angstrom
3.488 0.000 0.000
0.000 6.003 0.278
0.000 -2.240 8.760
ATOMIC_POSITIONS angstrom
Er 0.872 -0.538 5.643
N 2.616 2.868 1.629
N 0.872 0.895 7.409
N 0.872 3.426 4.522
Pm 0.872 1.397 2.745
N 0.872 3.894 7.666
Pm 2.616 2.366 6.293
Dy 0.872 4.515 0.608
N 2.616 -0.132 1.372
N 2.616 0.336 4.516
Dy 2.616 -0.752 8.430
Er 2.616 4.301 3.395
```

- Raw total energy: -0.2915 hartree per atom
- Magnetic moment: 0.00 μB/cell
- Formation energy from raw total energies: -1451 meV/atom
- SG: P2_1/m (11)



Compound: MgSbRh2
Source: the Alexandria database
Functional: PBE
Structure: relaxed Values from VASP.

Cell and atoms, written as Quantum ESPRESSO input:
```
&SYSTEM
  ibrav = 0, nat = 4, ntyp = 3
/
ATOMIC_SPECIES
Rh 102.91 Rh.upf
Mg 24.30 Mg.upf
Sb 121.76 Sb.upf
CELL_PARAMETERS angstrom
5.180 0.006 0.000
2.310 4.637 0.000
-3.745 -2.321 2.724
ATOMIC_POSITIONS angstrom
Rh 0.000 0.000 0.000
Mg 2.590 0.003 1.362
Sb 3.745 2.321 0.000
Rh 1.155 2.318 1.362
```

- Raw total energy: -0.2024 hartree per atom
- Magnetic moment: 0.00 μB/cell
- Formation energy from raw total energies: -402 meV/atom
- SG: I-4m2 (119)



Compound: Dy2InOs
Source: the Alexandria database
Functional: PBE
Structure: relaxed Values from VASP.

Cell and atoms, written as Quantum ESPRESSO input:
```
&SYSTEM
  ibrav = 0, nat = 4, ntyp = 3
/
ATOMIC_SPECIES
Dy 162.50 Dy.upf
Os 190.23 Os.upf
In 114.82 In.upf
CELL_PARAMETERS angstrom
-3.528 -0.830 -0.431
1.264 -4.546 -1.590
-0.175 -1.686 4.682
ATOMIC_POSITIONS angstrom
Dy -0.087 -0.843 2.341
Dy 0.632 -2.273 -0.795
Os -1.220 -3.531 1.331
In -1.764 -0.415 -0.215
```

- Raw total energy: -0.2209 hartree per atom
- Magnetic moment: 0.00 μB/cell
- SG: P4/mmm (123)
- ΔH_f (0 K): -218.6 meV/atom
- Distance to the lowest polymorph of the same formula: 144 meV/atom



Compound: LiBTe3
Source: the Alexandria database
Functional: PBE
Structure: relaxed Values from VASP.

Cell and atoms, written as Quantum ESPRESSO input:
```
&SYSTEM
  ibrav = 0, nat = 5, ntyp = 3
/
ATOMIC_SPECIES
Te 127.60 Te.upf
B 10.81 B.upf
Li 6.94 Li.upf
CELL_PARAMETERS angstrom
-0.439 -0.442 4.920
3.854 -3.120 0.064
3.090 3.830 0.619
ATOMIC_POSITIONS angstrom
Te -0.220 -0.221 2.460
B 0.000 0.000 0.000
Li 3.253 0.134 2.802
Te 1.927 -1.560 0.032
Te 1.545 1.915 0.310
```

- Raw total energy: -0.1165 hartree per atom
- Magnetic moment: 0.00 μB/cell
- Formation energy from raw total energies: 432 meV/atom
- SG: Pm-3m (221)
- Distance to the lowest polymorph of the same formula: 0 meV/atom



Compound: SmMg2CuAu4
Source: the Alexandria database
Functional: PBE
Structure: relaxed Values from VASP.

Cell and atoms, written as Quantum ESPRESSO input:
```
&SYSTEM
  ibrav = 0, nat = 8, ntyp = 4
/
ATOMIC_SPECIES
Sm 150.36 Sm.upf
Au 196.97 Au.upf
Cu 63.55 Cu.upf
Mg 24.30 Mg.upf
CELL_PARAMETERS angstrom
-0.984 -1.289 4.302
2.605 -3.147 2.109
5.599 4.730 5.154
ATOMIC_POSITIONS angstrom
Sm 0.000 0.000 0.000
Au 5.185 2.079 6.722
Au 2.035 -1.787 4.844
Cu 3.610 0.146 5.783
Mg 2.003 0.316 3.010
Au 3.667 2.358 4.002
Mg 5.217 -0.023 8.556
Au 3.553 -2.065 7.564
```

- Raw total energy: -0.1348 hartree per atom
- Magnetic moment: 0.00 μB/cell
- SG: R-3m (166)
- ΔH_f (0 K): -527.8 meV/atom



Q: What is the formula in the second record?
A: TiBeNbF2



Q: Which value of magnetic moment does entry 1 give?
A: 0.00 μB/cell



What did the ninth record say?
Compound: MgSbRh2
Source: the Alexandria database
Functional: PBE
Structure: relaxed Values from VASP.

Cell and atoms, written as Quantum ESPRESSO input:
```
&SYSTEM
  ibrav = 0, nat = 4, ntyp = 3
/
ATOMIC_SPECIES
Rh 102.91 Rh.upf
Mg 24.30 Mg.upf
Sb 121.76 Sb.upf
CELL_PARAMETERS angstrom
5.180 0.006 0.000
2.310 4.637 0.000
-3.745 -2.321 2.724
ATOMIC_POSITIONS angstrom
Rh 0.000 0.000 0.000
Mg 2.590 0.003 1.362
Sb 3.745 2.321 0.000
Rh 1.155 2.318 1.362
```

- Raw total energy: -0.2024 hartree per atom
- Magnetic moment: 0.00 μB/cell
- Formation energy from raw total energies: -402 meV/atom
- SG: I-4m2 (119)